1.
! Li3B8C8, relaxed, DFT GGA-PBE; values from VASP
! - Distance to the lowest polymorph of the same formula: 103 meV per atom
! - ΔH_f (0 K): 0.1092 eV per atom
! - Magnetic moment: 0.00 μB per cell
&SYSTEM
  ibrav = 0, nat = 19, ntyp = 3
/
ATOMIC_SPECIES
B 10.81 B.upf
C 12.01 C.upf
Li 6.94 Li.upf
CELL_PARAMETERS angstrom
0.8745 -4.7506 -5.8061
2.3204 -6.9282 -1.8610
-5.0977 -1.0287 1.3012
ATOMIC_POSITIONS angstrom
B 0.7337 -5.3194 -1.3039
B -0.0953 -6.8855 -5.7169
B -1.2725 -4.4804 -2.9429
B 1.9098 -7.7053 -4.0653
B -3.8048 -4.9904 -2.2962
B -2.6276 -7.3956 -5.0701
B -1.8176 -5.8539 -0.6768
B -0.6366 -8.1996 -3.3912
C -0.7888 -5.1771 -1.6446
C 0.8883 -8.3619 -3.0754
C -0.2400 -3.7866 -3.9086
C 1.4375 -7.0606 -5.4057
C -2.7921 -4.3447 -3.3030
C -1.6653 -8.8763 -2.4234
C -3.3425 -5.6916 -0.9926
C -1.1080 -7.5312 -4.7101
Li 0.4533 -9.1511 -5.2542
Li -2.0330 -9.6530 -4.6198
Li 0.1615 -3.0483 -1.7541

=====

2.
! Na4HgS3, relaxed, DFT GGA-PBE; values from VASP
! - ΔE_f (raw): -81.1 kJ per mole of atoms
! - Magnetic moment: 0.00 μB per cell
&SYSTEM
  ibrav = 0, nat = 16, ntyp = 3
/
ATOMIC_SPECIES
S 32.06 S.upf
Na 22.99 Na.upf
Hg 200.59 Hg.upf
CELL_PARAMETERS angstrom
7.0500 0.0000 0.0000
-3.5250 6.4603 -2.6908
0.0000 -0.2842 9.6429
ATOMIC_POSITIONS angstrom
S 3.4722 1.8876 2.3707
S 3.5778 1.7455 7.1922
S 3.6503 5.4692 0.7277
S -0.0132 3.7623 4.1004
S 0.0133 3.9044 -0.7210
S 3.3997 5.3271 5.5492
Na 2.3559 4.9380 -1.6568
Na 1.1817 1.2040 8.4098
Na 1.4471 3.7910 1.6882
Na 4.6323 2.8367 0.0372
Na 5.8682 1.3461 3.5884
Na -2.3559 4.7959 3.1647
Na -1.4471 3.6489 6.5096
Na 2.4177 2.6947 4.8587
Hg 1.1125 6.0095 4.7278
Hg -1.1125 6.1516 -0.0936

=====

Table of V (Å³/f.u.), in record order: 178.63; 216.90
Table of calculated total energy (eV for the cell shown), in record order: -130.88; -49.38